(1)
# RbV2AgCl8, optimized geometry, DFT PBE-GGA
data_RbV2AgCl8
_cell_length_a 6.6583
_cell_length_b 6.6583
_cell_length_c 9.5450
_cell_angle_alpha 90.00
_cell_angle_beta 90.00
_cell_angle_gamma 120.00
_symmetry_space_group_name_H-M 'P -3'
_symmetry_Int_Tables_number 147
loop_
_symmetry_equiv_pos_as_xyz
'x,y,z'
'-x,-y,-z'
'-y,x-y,z'
'y,-x+y,-z'
'-x+y,-x,z'
'x-y,x,-z'
loop_
_atom_site_label
_atom_site_type_symbol
_atom_site_fract_x
_atom_site_fract_y
_atom_site_fract_z
Rb1 Rb 0.0000 0.0000 0.0000
V1 V 0.3333 0.6667 0.7465
Ag1 Ag 0.0000 0.0000 0.5000
Cl1 Cl 0.0203 0.3344 0.6805
Cl2 Cl 0.3333 0.6667 0.9799
# **Raw formation energy**: -1.18 eV/atom
# **ρ**: 2.623 g/cm3
# **Total magnetic moment**: 4.00 μB/cell

(2)
# RbVAgCl6, optimized geometry, DFT PBE-GGA
data_RbVAgCl6
_cell_length_a 6.8038
_cell_length_b 6.8038
_cell_length_c 6.9870
_cell_angle_alpha 90.00
_cell_angle_beta 90.00
_cell_angle_gamma 120.00
_symmetry_space_group_name_H-M 'P 3 1 2'
_symmetry_Int_Tables_number 149
loop_
_symmetry_equiv_pos_as_xyz
'x,y,z'
'-y,x-y,z'
'-x+y,-x,z'
'-y,-x,-z'
'-x+y,y,-z'
'x,x-y,-z'
loop_
_atom_site_label
_atom_site_type_symbol
_atom_site_fract_x
_atom_site_fract_y
_atom_site_fract_z
Rb1 Rb 0.0000 0.0000 0.0000
V1 V 0.6667 0.3333 0.5000
Ag1 Ag 0.3333 0.6667 0.5000
Cl1 Cl 0.3962 0.0448 0.6937
# **Raw formation energy**: -1.16 eV/atom
# **ρ**: 2.709 g/cm3
# **Total magnetic moment**: 1.00 μB/cell

(3)
# Rb2VAgCl6, optimized geometry, DFT PBE-GGA
data_Rb2VAgCl6
_cell_length_a 7.662
_cell_length_b 7.662
_cell_length_c 9.094
_cell_angle_alpha 90.00
_cell_angle_beta 90.00
_cell_angle_gamma 90.00
_symmetry_space_group_name_H-M 'I 4/m m m'
_symmetry_Int_Tables_number 139
_symmetry_space_group_name_Hall '-I 4 2'
loop_
_atom_site_label
_atom_site_type_symbol
_atom_site_fract_x
_atom_site_fract_y
_atom_site_fract_z
Rb1 Rb 0.000 0.500 0.250
V1 V 0.000 0.000 0.000
Ag1 Ag 0.000 0.000 0.500
Cl1 Cl 0.000 0.000 0.247
Cl2 Cl 0.224 0.224 0.000
# **Raw formation energy**: -1.32 eV/atom
# **ρ**: 3.374 g/cm3
# **Total magnetic moment**: 4.00 μB/cell

(4)
# RbVAg2Cl8, optimized geometry, DFT PBE-GGA
data_RbVAg2Cl8
_cell_length_a 6.218
_cell_length_b 7.004
_cell_length_c 8.796
_cell_angle_alpha 72.07
_cell_angle_beta 83.02
_cell_angle_gamma 85.80
_symmetry_space_group_name_H-M 'P -1'
_symmetry_Int_Tables_number 2
loop_
_symmetry_equiv_pos_as_xyz
'x,y,z'
'-x,-y,-z'
loop_
_atom_site_label
_atom_site_type_symbol
_atom_site_fract_x
_atom_site_fract_y
_atom_site_fract_z
Rb1 Rb 0.000 0.000 0.000
V1 V 0.000 0.500 0.500
Ag1 Ag 0.495 0.522 0.804
Cl1 Cl 0.075 0.506 0.753
Cl2 Cl 0.165 0.793 0.385
Cl3 Cl 0.324 0.322 0.474
Cl4 Cl 0.486 0.216 0.046
# **Raw formation energy**: -0.95 eV/atom
# **ρ**: 2.920 g/cm3
# **Total magnetic moment**: 0.16 μB/cell

(5)
# RbVAg2Cl6, optimized geometry, DFT PBE-GGA
data_RbVAg2Cl6
_cell_length_a 6.978
_cell_length_b 6.991
_cell_length_c 7.455
_cell_angle_alpha 90.01
_cell_angle_beta 117.90
_cell_angle_gamma 119.59
_symmetry_space_group_name_H-M 'P 1'
_symmetry_Int_Tables_number 1
loop_
_symmetry_equiv_pos_as_xyz
'x,y,z'
loop_
_atom_site_label
_atom_site_type_symbol
_atom_site_fract_x
_atom_site_fract_y
_atom_site_fract_z
Rb1 Rb 0.000 0.000 0.000
V1 V 0.956 0.479 0.433
Ag1 Ag 0.550 0.274 0.822
Ag2 Ag 0.598 0.803 0.404
Cl1 Cl 0.091 0.460 0.196
Cl2 Cl 0.112 0.267 0.646
Cl3 Cl 0.382 0.843 0.644
Cl4 Cl 0.567 0.110 0.200
Cl5 Cl 0.741 0.639 0.203
Cl6 Cl 0.805 0.539 0.648
# **Raw formation energy**: -1.03 eV/atom
# **ρ**: 3.519 g/cm3
# **Total magnetic moment**: 2.00 μB/cell

(6)
# Rb3V2AgCl9, optimized geometry, DFT PBE-GGA
data_Rb3V2AgCl9
_cell_length_a 7.1738
_cell_length_b 7.1738
_cell_length_c 8.8762
_cell_angle_alpha 90.00
_cell_angle_beta 90.00
_cell_angle_gamma 120.00
_symmetry_space_group_name_H-M 'P -3 m 1'
_symmetry_Int_Tables_number 164
_symmetry_space_group_name_Hall '-P 3 2"'
loop_
_atom_site_label
_atom_site_type_symbol
_atom_site_fract_x
_atom_site_fract_y
_atom_site_fract_z
Rb1 Rb 0.0000 0.0000 0.0000
Rb2 Rb 0.3333 0.6667 0.6565
V1 V 0.3333 0.6667 0.1610
Ag1 Ag 0.0000 0.0000 0.5000
Cl1 Cl 0.0000 0.5000 0.0000
Cl2 Cl 0.1750 0.3500 0.3158
# **Raw formation energy**: -1.41 eV/atom
# **ρ**: 3.296 g/cm3
# **Total magnetic moment**: 5.00 μB/cell

(7)
# Rb2AgWCl6, optimized geometry, DFT PBE-GGA
data_Rb2AgWCl6
_cell_length_a 10.388
_cell_length_b 10.388
_cell_length_c 10.388
_cell_angle_alpha 90.00
_cell_angle_beta 90.00
_cell_angle_gamma 90.00
_symmetry_space_group_name_H-M 'F m -3 m'
_symmetry_Int_Tables_number 225
_symmetry_space_group_name_Hall '-F 4 2 3'
loop_
_atom_site_label
_atom_site_type_symbol
_atom_site_fract_x
_atom_site_fract_y
_atom_site_fract_z
Rb1 Rb 0.250 0.250 0.250
Ag1 Ag 0.000 0.000 0.000
W1 W 0.000 0.000 0.500
Cl1 Cl 0.000 0.000 0.263
# **Raw formation energy**: -1.12 eV/atom
# **ρ**: 4.001 g/cm3
# **Total magnetic moment**: 12.00 μB/cell

(8)
# RbYAgCl5, optimized geometry, DFT PBE-GGA
data_RbYAgCl5
_cell_length_a 8.904
_cell_length_b 12.538
_cell_length_c 10.197
_cell_angle_alpha 90.00
_cell_angle_beta 111.36
_cell_angle_gamma 90.00
_symmetry_space_group_name_H-M 'C 1 2/c 1'
_symmetry_Int_Tables_number 15
loop_
_symmetry_equiv_pos_as_xyz
'x,y,z'
'-x,-y,-z'
'-x,y,-z+1/2'
'x,-y,z+1/2'
'x+1/2,y+1/2,z'
'-x+1/2,-y+1/2,-z'
'-x+1/2,y+1/2,-z+1/2'
'x+1/2,-y+1/2,z+1/2'
loop_
_atom_site_label
_atom_site_type_symbol
_atom_site_fract_x
_atom_site_fract_y
_atom_site_fract_z
Rb1 Rb 0.000 0.160 0.250
Y1 Y 0.000 0.500 0.000
Ag1 Ag 0.000 0.188 0.750
Cl1 Cl 0.000 0.433 0.250
Cl2 Cl 0.101 0.305 0.589
Cl3 Cl 0.195 0.056 0.934
# **Raw formation energy**: -1.77 eV/atom
# **ρ**: 2.879 g/cm3
# **Total magnetic moment**: 0.00 μB/cell